Record 1
Density functional theory data (GGA-PBE) for a geometry-optimized LaHg2Te2 structure.

## Properties
relative energy among the computed polymorphs = 0.00 kcal/mol of atoms
space-group type = I4/mmm (139)
formation energy without anion corrections = -0.676 eV per atom
total magnetization = 0.00 μB per cell

Geometry as extended XYZ:
```
10
Lattice="4.1988 0.0000 0.0000 0.0000 4.1988 0.0000 0.0000 0.0000 18.5591" Properties=species:S:1:pos:R:3 pbc="T T T"
La 0.0000 0.0000 0.0000
La 2.0994 2.0994 9.2796
Hg 0.0000 2.0994 4.6398
Hg 0.0000 2.0994 13.9193
Hg 2.0994 0.0000 4.6398
Hg 2.0994 0.0000 13.9193
Te 0.0000 0.0000 7.6645
Te 0.0000 0.0000 10.8946
Te 2.0994 2.0994 1.6150
Te 2.0994 2.0994 16.9441
```



Record 2
Density functional theory data (GGA-PBE) for a geometry-optimized LaHg2Te2 structure.

## Properties
relative energy among the computed polymorphs = 4.82 kcal/mol of atoms
space-group type = I4/mmm (139)
formation energy without anion corrections = -0.467 eV per atom
total magnetization = 0.00 μB per cell

Geometry as extended XYZ:
```
10
Lattice="5.8358 0.0000 0.0000 0.0000 5.8358 0.0000 0.0000 0.0000 9.2487" Properties=species:S:1:pos:R:3 pbc="T T T"
La 0.0000 0.0000 0.0000
La 2.9179 2.9179 4.6244
Hg 0.0000 0.0000 3.2745
Hg 0.0000 0.0000 5.9742
Hg 2.9179 2.9179 1.3499
Hg 2.9179 2.9179 7.8988
Te 0.0000 2.9179 2.3122
Te 0.0000 2.9179 6.9365
Te 2.9179 0.0000 2.3122
Te 2.9179 0.0000 6.9365
```



Record 3
Density functional theory data (GGA-PBE) for a geometry-optimized La4HgTe structure.

## Properties
space-group type = F-43m (216)
formation energy without anion corrections = -0.079 eV per atom
total magnetization = 0.00 μB per cell

Geometry as extended XYZ:
```
6
Lattice="0.0000 4.5703 4.5703 4.5703 0.0000 4.5703 4.5703 4.5703 0.0000" Properties=species:S:1:pos:R:3 pbc="T T T"
La 1.1419 1.1419 1.1419
La 3.4284 3.4284 1.1419
La 3.4284 1.1419 3.4284
La 1.1419 3.4284 3.4284
Hg 4.5703 4.5703 4.5703
Te 6.8555 6.8555 6.8555
```